1.
First-principles (PBE) data for a relaxed structure of Tb4Pm3Bi4, as listed in Alexandria.

Values from the calculation:
**Density of states at the Fermi level**: 1.12 states/eV/atom
**Formation energy**: -5.8 eV per formula unit

```
Tb4Pm3Bi4
1.0
11.5506 0.0000 0.0000
0.0000 2.1894 7.0757
0.0000 -2.1894 7.0757
Tb Pm Bi
4 3 4
direct
0.0000 0.0000 0.0000
0.2430 0.4713 0.4713
0.5000 0.0708 0.0708
0.7570 0.4713 0.4713
0.0000 0.6977 0.6977
0.3521 0.7720 0.7720
0.6479 0.7720 0.7720
0.0000 0.3535 0.3535
0.2191 0.1379 0.1379
0.5000 0.3984 0.3984
0.7809 0.1379 0.1379
```

---

2.
First-principles (PBE) data for a relaxed structure of TbPm2Bi, as listed in Alexandria.

Values from the calculation:
**E above lowest polymorph**: 0.014 eV/atom
**Density of states at the Fermi level**: 1.03 states/eV/atom
**Formation energy**: -1.6 eV per formula unit

```
TbPm2Bi
1.0
4.9260 0.0000 0.0000
0.0000 4.9260 0.0000
0.0000 0.0000 4.9710
Tb Pm Bi
1 2 1
direct
0.0000 0.0000 0.0000
0.0000 0.5000 0.5000
0.5000 0.0000 0.5000
0.5000 0.5000 0.0000
```

---

3.
First-principles (PBE) data for a relaxed structure of TbPm2Bi, as listed in Alexandria.

Values from the calculation:
**E above lowest polymorph**: 0.516 eV/atom
**Density of states at the Fermi level**: 1.86 states/eV/atom
**Formation energy**: 0.4 eV per formula unit

```
TbPm2Bi
1.0
4.0392 0.0000 0.0000
-2.0196 3.4981 0.0000
0.0000 0.0000 32.3408
Tb Pm Bi
3 6 3
direct
0.0000 0.0000 0.0000
0.3333 0.6667 0.6667
0.6667 0.3333 0.3333
0.0000 0.0000 0.1026
0.0000 0.0000 0.8974
0.3333 0.6667 0.5641
0.3333 0.6667 0.7692
0.6667 0.3333 0.2308
0.6667 0.3333 0.4359
0.0000 0.0000 0.5000
0.3333 0.6667 0.1667
0.6667 0.3333 0.8333
```